1.
Below is a relaxed structure of Zr2AgPtO, with properties calculated at the GGA-PBE level.

Structure (extended XYZ):
```
5
Lattice="4.323 0.000 0.000 0.000 4.323 0.000 0.000 0.000 4.544" Properties=species:S:1:pos:R:3 pbc="T T T"
Zr 0.000 2.162 0.000
Zr 2.162 0.000 0.000
Ag 0.000 0.000 2.272
Pt 2.162 2.162 2.272
O 0.000 0.000 0.000
```

Summary:
The value obtained for the total magnetization is 0.00 μB/cell. The space group is No. 123. As for the final energy: -7.20 eV per atom. The calculation puts the uncorrected formation energy at -5.05 eV/f.u.

***

2.
Below is a relaxed structure of PuAg2O6, with properties calculated at the GGA-PBE level.

Structure (extended XYZ):
```
9
Lattice="3.926 0.000 0.000 1.431 5.227 0.000 0.529 1.626 7.676" Properties=species:S:1:pos:R:3 pbc="T T T"
Pu 0.000 0.000 0.000
Ag 1.959 4.321 4.734
Ag 3.926 2.532 2.942
O 2.016 5.992 5.990
O 1.933 2.737 7.149
O 1.963 2.708 3.424
O 3.923 4.145 4.253
O 3.953 4.116 0.527
O 3.870 0.861 1.687
```

Summary:
The value obtained for the total magnetization is 1.12 μB/cell. The space group is No. 2. As for the final energy: -6.51 eV per atom. The calculation puts the uncorrected formation energy at -8.84 eV/f.u.

***

3.
Below is a relaxed structure of PuAgO3, with properties calculated at the GGA-PBE level.

Structure (extended XYZ):
```
5
Lattice="4.233 0.000 0.000 0.000 4.233 0.000 0.000 0.000 4.233" Properties=species:S:1:pos:R:3 pbc="T T T"
Pu 0.000 0.000 0.000
Ag 2.116 2.116 2.116
O 0.000 0.000 2.116
O 0.000 2.116 0.000
O 2.116 0.000 0.000
```

Summary:
The value obtained for the total magnetization is 2.99 μB/cell. The space group is No. 221. As for the final energy: -8.27 eV per atom. The calculation puts the uncorrected formation energy at -9.32 eV/f.u.

***

4.
Below is a relaxed structure of PuAg2O7, with properties calculated at the GGA-PBE level.

Structure (extended XYZ):
```
20
Lattice="5.826 -3.188 0.000 5.826 3.188 0.000 -4.277 0.000 9.028" Properties=species:S:1:pos:R:3 pbc="T T T"
Pu 2.618 1.774 6.771
Pu 4.757 -1.774 2.257
Ag 2.853 1.626 2.292
Ag 6.661 1.626 2.222
Ag 0.714 -1.626 6.806
Ag 4.523 -1.626 6.736
O 1.077 0.532 2.288
O 4.757 2.403 2.257
O 2.655 1.824 4.970
O -1.061 -0.532 6.802
O 2.581 1.824 8.572
O 1.355 0.226 6.748
O 3.493 -0.226 2.234
O 3.882 0.226 6.794
O 6.021 -0.226 2.280
O 4.794 -1.824 0.456
O 8.437 0.532 2.226
O 4.720 -1.824 4.058
O 2.618 -2.403 6.771
O 6.298 -0.532 6.740
```

Summary:
The value obtained for the total magnetization is 0.00 μB/cell. The space group is No. 15. As for the final energy: -6.25 eV per atom. The calculation puts the uncorrected formation energy at -7.75 eV/f.u.

***

5.
Below is a relaxed structure of Pu3Ag2O8, with properties calculated at the GGA-PBE level.

Structure (extended XYZ):
```
13
Lattice="5.683 0.000 0.000 -1.277 5.956 0.000 -2.482 -0.594 6.412" Properties=species:S:1:pos:R:3 pbc="T T T"
Pu 0.000 0.000 0.000
Pu -1.246 2.850 1.632
Pu 3.170 2.512 4.780
Ag 0.279 0.199 4.029
Ag 1.645 5.163 2.383
O -2.138 4.661 5.371
O 0.464 2.232 0.310
O -0.739 2.213 3.591
O -0.608 4.922 1.842
O 2.533 0.439 4.569
O 2.663 3.148 2.821
O 1.461 3.130 6.102
O 4.062 0.701 1.041
```

Summary:
The value obtained for the total magnetization is 3.60 μB/cell. The space group is No. 2. As for the final energy: -8.89 eV per atom. The calculation puts the uncorrected formation energy at -27.27 eV/f.u.

***

6.
Below is a relaxed structure of PuAg4O5, with properties calculated at the GGA-PBE level.

Structure (extended XYZ):
```
10
Lattice="-4.282 4.282 2.142 4.282 -4.282 2.142 4.282 4.282 -2.142" Properties=species:S:1:pos:R:3 pbc="T T T"
Pu 0.000 0.000 0.000
Ag 5.277 1.696 0.000
Ag 1.696 3.287 0.000
Ag 2.586 0.995 2.142
Ag -0.995 2.586 2.142
O 2.067 0.237 0.000
O 4.045 -2.214 2.142
O 0.000 0.000 2.142
O 0.237 6.496 0.000
O 2.214 4.045 2.142
```

Summary:
The value obtained for the total magnetization is 1.98 μB/cell. The space group is No. 87. As for the final energy: -6.01 eV per atom. The calculation puts the uncorrected formation energy at -9.59 eV/f.u.

***

7.
Below is a relaxed structure of PuAg2O5, with properties calculated at the GGA-PBE level.

Structure (extended XYZ):
```
16
Lattice="7.775 -2.561 0.000 7.775 2.561 0.000 -1.241 0.000 5.736" Properties=species:S:1:pos:R:3 pbc="T T T"
Pu 3.887 1.281 0.000
Pu 3.267 -1.281 2.868
Ag 6.201 1.291 2.530
Ag 8.728 1.291 0.339
Ag 5.580 -1.291 5.398
Ag 8.108 -1.291 3.207
O 0.912 0.404 5.144
O 1.533 -0.404 2.276
O 3.654 0.209 4.019
O 4.274 -0.209 1.151
O 6.844 0.211 4.302
O 7.464 -0.211 1.434
O 10.034 0.209 4.585
O 10.655 -0.209 1.717
O 12.776 0.404 3.461
O 13.396 -0.404 0.593
```

Summary:
The value obtained for the total magnetization is 4.22 μB/cell. The space group is No. 15. As for the final energy: -6.84 eV per atom. The calculation puts the uncorrected formation energy at -9.89 eV/f.u.

***

8.
Below is a relaxed structure of Pu3AgO, with properties calculated at the GGA-PBE level.

Structure (extended XYZ):
```
5
Lattice="4.855 0.000 0.000 0.000 4.855 0.000 0.000 0.000 4.855" Properties=species:S:1:pos:R:3 pbc="T T T"
Pu 0.000 0.000 2.428
Pu 0.000 2.428 0.000
Pu 2.428 0.000 0.000
Ag 2.428 2.428 2.428
O 0.000 0.000 0.000
```

Summary:
The value obtained for the total magnetization is 18.46 μB/cell. The space group is No. 221. As for the final energy: -10.96 eV per atom. The calculation puts the uncorrected formation energy at -3.99 eV/f.u.

***

- Which formula does entry 7 have?
  PuAg2O5

***

- final energy of number 2 (PuAg2O6)?
  -6.51 eV per atom